Record 1
VASP calculation (PBE) on an optimized crystal structure of SrZnBi2.

Structure (CIF):
```
data_SrZnBi2
_cell_length_a 7.909
_cell_length_b 7.909
_cell_length_c 7.909
_cell_angle_alpha 90.00
_cell_angle_beta 90.00
_cell_angle_gamma 90.00
_space_group_name_H-M_alt 'F -4 3 m'
_space_group_IT_number 216
_space_group_name_Hall 'F -4 2 3'
loop_
_atom_site_label
_atom_site_fract_x
_atom_site_fract_y
_atom_site_fract_z
Sr1 0.000 0.000 0.000
Zn1 0.250 0.250 0.250
Bi1 0.000 0.000 0.500
Bi2 0.250 0.250 0.750
```

Calculated total energy, eV per atom: -2.9590

=====

Record 2
VASP calculation (PBE) on an optimized crystal structure of Sr2ZnBi.

Structure (CIF):
```
data_Sr2ZnBi
_cell_length_a 8.146
_cell_length_b 8.146
_cell_length_c 8.146
_cell_angle_alpha 90.00
_cell_angle_beta 90.00
_cell_angle_gamma 90.00
_space_group_name_H-M_alt 'F -4 3 m'
_space_group_IT_number 216
_space_group_name_Hall 'F -4 2 3'
loop_
_atom_site_label
_atom_site_fract_x
_atom_site_fract_y
_atom_site_fract_z
Sr1 0.000 0.000 0.000
Sr2 0.250 0.250 0.250
Zn1 0.250 0.250 0.750
Bi1 0.000 0.000 0.500
```

Calculated total energy, eV per atom: -2.3297

=====

Record 3
VASP calculation (PBE) on an optimized crystal structure of SrZn2Bi2.

Structure (CIF):
```
data_SrZn2Bi2
_cell_length_a 4.562
_cell_length_b 4.562
_cell_length_c 13.720
_cell_angle_alpha 90.00
_cell_angle_beta 90.00
_cell_angle_gamma 90.00
_space_group_name_H-M_alt 'I 4/m m m'
_space_group_IT_number 139
_space_group_name_Hall '-I 4 2'
loop_
_atom_site_label
_atom_site_fract_x
_atom_site_fract_y
_atom_site_fract_z
Sr1 0.000 0.000 0.000
Zn1 0.000 0.500 0.250
Bi1 0.000 0.000 0.375
```

Calculated total energy, eV per atom: -2.7298

=====

Record 4
VASP calculation (PBE) on an optimized crystal structure of SrZrBi.

Structure (CIF):
```
data_SrZrBi
_cell_length_a 7.608
_cell_length_b 7.608
_cell_length_c 7.608
_cell_angle_alpha 90.00
_cell_angle_beta 90.00
_cell_angle_gamma 90.00
_space_group_name_H-M_alt 'F -4 3 m'
_space_group_IT_number 216
_space_group_name_Hall 'F -4 2 3'
loop_
_atom_site_label
_atom_site_fract_x
_atom_site_fract_y
_atom_site_fract_z
Sr1 0.000 0.000 0.000
Zr1 0.250 0.250 0.250
Bi1 0.250 0.250 0.750
```

ΔE to the lowest computed polymorph, meV/atom: 655

=====

What is the formula in the fourth record? SrZrBi